i | 40
Lattice="3.967 0.000 0.000 0.000 11.037 -0.007 0.000 4.304 21.113" Properties=species:S:1:pos:R:3 comment="GGA-PBE PrTmS3, relaxed" rho_g_cm3=5.83 magnetic_moment_mub_per_fu=0.00 pbc="T T T"
Tm 2.975 6.099 20.142
Tm 0.992 12.218 7.407
Tm 2.975 7.441 12.316
S 2.975 8.825 16.484
S 0.992 1.091 0.770
Pr 2.975 8.688 4.931
S 2.975 9.192 10.254
S 0.992 10.345 3.430
S 2.975 14.251 20.337
Pr 2.975 1.579 2.876
S 2.975 5.718 14.279
S 2.975 11.514 13.403
Pr 0.992 13.762 18.231
S 0.992 6.149 10.852
Pr 0.992 10.798 15.481
S 2.975 6.583 7.717
Pr 2.975 4.544 5.625
S 2.975 1.573 5.724
Pr 2.975 4.219 9.774
S 2.975 11.814 17.456
Tm 0.992 5.646 1.837
S 0.992 11.171 20.356
Tm 2.975 9.695 19.269
S 0.992 6.516 4.622
S 0.992 13.769 15.383
Tm 0.992 9.242 0.964
Pr 0.992 6.653 16.175
S 0.992 7.660 19.030
S 0.992 9.624 6.827
S 2.975 7.681 2.076
Tm 2.975 3.123 13.699
Pr 0.992 11.122 11.332
S 2.975 4.997 17.676
S 2.975 12.307 9.374
S 0.992 8.758 13.389
S 0.992 3.828 7.703
S 0.992 3.035 11.732
Tm 0.992 7.900 8.790
S 2.975 4.171 0.750
S 0.992 3.528 3.650

---

ii | 20
Lattice="3.992 0.000 0.000 0.000 7.409 0.000 0.000 0.000 15.332" Properties=species:S:1:pos:R:3 comment="GGA-PBE PrTmS3, relaxed" rho_g_cm3=5.95 magnetic_moment_mub_per_fu=0.00 pbc="T T T"
S 2.994 2.591 4.392
S 0.998 1.113 12.057
S 0.998 6.474 14.420
Tm 0.998 2.013 14.670
Pr 2.994 2.643 10.727
Pr 2.994 6.347 12.271
S 0.998 4.818 10.940
Tm 0.998 5.717 8.327
S 2.994 4.640 6.754
Tm 2.994 5.396 0.661
Pr 0.998 4.766 4.605
S 2.994 7.317 9.252
S 2.994 3.612 13.745
S 0.998 3.797 1.587
Tm 2.994 1.692 7.004
S 0.998 2.769 8.577
Pr 0.998 1.062 3.061
S 2.994 0.935 0.912
S 2.994 6.296 3.274
S 0.998 0.092 6.079

---

The structure with the most favorable energy is i; the runner-up is 9 meV per atom above it.

---

i | 4
Lattice="-0.885 1.776 -3.301 -1.078 -2.064 -3.068 -7.351 0.366 -0.080" Properties=species:S:1:pos:R:3 comment="GGA-PBE PrTmS2, relaxed" rho_g_cm3=6.89 magnetic_moment_mub_per_fu=0.00 pbc="T T T"
Tm -4.766 0.047 -3.191
S -5.566 0.243 -0.625
Pr -8.551 0.167 -4.360
S -2.440 0.027 -1.578

---

ii | 4
Lattice="3.915 0.008 0.015 1.943 3.399 0.015 1.932 1.124 6.700" Properties=species:S:1:pos:R:3 comment="GGA-PBE PrTmS2, relaxed" rho_g_cm3=6.98 magnetic_moment_mub_per_fu=0.00 pbc="T T T"
Pr 3.896 2.265 3.365
S 1.948 1.133 1.509
Tm 0.000 0.000 0.000
S 5.843 3.398 5.220

---

The structure with the most favorable energy is ii; the runner-up is 81 meV per atom above it.

---

i | 18
Lattice="-3.960 -1.943 4.701 3.184 -5.592 0.371 7.712 4.958 8.545" Properties=species:S:1:pos:R:3 comment="GGA-PBE Pr2US6, relaxed" rho_g_cm3=4.54 magnetic_moment_mub_per_fu=0.07 pbc="T T T"
S 5.499 -2.325 5.578
Pr 6.043 0.367 9.661
S 2.443 -0.633 4.564
S 8.391 -0.705 8.428
S 4.494 -1.943 9.053
S 3.917 1.581 11.140
Pr 0.893 -2.944 3.955
U 0.000 0.000 0.000
S 1.438 -0.251 8.039
S 3.020 -4.158 2.477
S 4.784 0.872 7.158
S 2.153 -3.449 6.459
Pr 5.137 3.303 5.692
S -1.454 -1.872 5.189
U 3.468 -1.288 6.808
S -0.555 -5.394 3.631
S -0.220 -2.141 1.441
Pr 2.575 1.656 2.853

---

ii | 18
Lattice="6.571 0.000 0.067 0.000 7.499 0.000 0.423 0.000 9.228" Properties=species:S:1:pos:R:3 comment="GGA-PBE Pr2US6, relaxed" rho_g_cm3=5.20 magnetic_moment_mub_per_fu=0.00 pbc="T T T"
S 2.542 4.038 2.422
S 6.039 7.211 7.070
S 0.955 0.289 2.225
Pr 3.375 0.788 6.928
S 4.640 1.267 4.125
S 4.334 1.486 0.625
Pr 0.545 4.537 6.947
S 2.354 6.233 5.170
S 1.260 2.263 5.205
S 2.660 6.013 8.670
Pr 3.619 6.712 2.367
U 3.285 3.750 0.033
U 0.212 0.000 4.614
S 5.427 5.016 0.589
Pr 6.449 2.962 2.347
S 4.452 3.461 6.872
S 1.567 2.483 8.705
S 5.734 5.236 4.089

---

The structure with the most favorable energy is ii; the runner-up is 96 meV per atom above it.

---

i | 16
Lattice="5.427 0.000 0.000 -2.714 6.905 0.000 0.000 0.000 13.473" Properties=species:S:1:pos:R:3 comment="GGA-PBE Pr2US5, relaxed" rho_g_cm3=4.47 magnetic_moment_mub_per_fu=2.00 pbc="T T T"
Pr 0.000 2.001 7.586
Pr 2.714 4.905 0.849
U 2.714 4.279 10.105
S 2.714 2.713 12.361
U 0.000 2.627 3.368
S 2.714 3.291 3.368
S 2.714 2.713 7.848
Pr 2.714 4.905 5.887
S 2.714 6.234 8.362
S 0.000 4.192 5.625
S 0.000 3.614 10.105
S 0.000 0.671 5.111
S 2.714 6.234 11.847
S 0.000 4.192 1.112
Pr 0.000 2.001 12.624
S 0.000 0.671 1.626

---

ii | 32
Lattice="7.545 0.000 0.000 0.000 8.124 0.000 0.000 0.000 12.018" Properties=species:S:1:pos:R:3 comment="GGA-PBE Pr2US5, relaxed" rho_g_cm3=6.13 magnetic_moment_mub_per_fu=2.00 pbc="T T T"
Pr 7.355 0.000 9.895
U 3.260 6.093 11.926
Pr 7.355 4.062 9.895
S 0.366 6.093 12.007
S 7.179 2.031 0.010
S 5.235 2.031 9.462
S 5.044 6.093 9.786
S 6.083 2.031 3.453
S 4.138 2.031 6.019
S 1.212 3.736 4.871
S 1.272 2.031 8.240
S 6.273 6.093 3.777
Pr 3.583 8.124 8.132
Pr 3.962 0.000 3.886
S 2.560 3.736 10.880
U 7.032 2.031 6.101
S 6.333 7.798 7.146
S 1.462 6.093 8.564
S 3.407 6.093 5.998
S 1.212 0.326 4.871
Pr 3.962 4.062 3.886
S 2.560 0.326 10.880
U 0.513 6.093 5.917
Pr 0.189 8.124 2.123
S 4.985 4.388 1.138
Pr 3.583 4.062 8.132
S 6.333 4.388 7.146
S 4.985 7.798 1.138
S 2.501 2.031 2.232
S 2.310 6.093 2.555
U 4.285 2.031 0.092
Pr 0.189 4.062 2.123

---

The structure with the most favorable energy is ii; the runner-up is 100 meV per atom above it.

---

i | 14
Lattice="-4.087 -2.334 -6.506 -0.075 -7.751 -2.128 -6.822 -4.171 0.826" Properties=species:S:1:pos:R:3 comment="GGA-PBE Pr2YS4, relaxed" rho_g_cm3=4.47 magnetic_moment_mub_per_fu=0.00 pbc="T T T"
S -2.667 -3.557 -2.004
Pr 0.000 0.000 0.000
S -2.751 -7.382 -3.014
Pr -5.454 -3.253 -2.840
Pr -3.448 -5.961 -0.651
S -8.231 -6.875 -4.794
S -4.830 -8.569 -6.323
Y -0.037 -3.876 -1.064
S -8.315 -10.699 -5.805
S -6.153 -5.688 -1.486
Y -2.081 -5.043 -4.317
S -4.735 -4.808 -5.212
Pr -3.411 -2.086 0.413
S -6.248 -9.448 -2.597

---

ii | 14
Lattice="-1.506 3.457 -0.969 -1.322 -0.839 6.883 11.745 5.954 2.981" Properties=species:S:1:pos:R:3 comment="GGA-PBE Pr2YS4, relaxed" rho_g_cm3=4.65 magnetic_moment_mub_per_fu=0.00 pbc="T T T"
S 5.119 4.705 1.006
Pr 0.314 0.661 1.871
S 9.351 5.593 5.416
Pr 8.603 7.910 7.024
S -0.753 1.728 -0.484
S 6.050 7.053 7.936
Y 7.527 6.420 3.383
S 2.474 4.452 4.218
Pr 4.485 2.776 2.930
Pr 4.432 5.795 5.965
S -0.434 2.978 3.479
Y 1.390 2.151 5.512
S 6.443 4.119 4.677
S 2.867 1.518 0.959

---

The structure with the most favorable energy is i; the runner-up is 8 meV per atom above it.

---

i | 20
Lattice="4.017 0.000 0.000 0.000 7.446 0.000 0.000 0.000 15.467" Properties=species:S:1:pos:R:3 comment="GGA-PBE PrYS3, relaxed" rho_g_cm3=4.68 magnetic_moment_mub_per_fu=0.00 pbc="T T T"
S 3.013 0.935 0.954
S 1.004 3.810 1.625
Pr 1.004 4.793 4.628
S 1.004 2.788 8.687
S 3.013 3.636 13.842
Y 1.004 2.009 14.794
S 1.004 1.107 12.138
S 3.013 2.616 4.405
Y 3.013 1.714 7.061
S 1.004 4.830 11.062
Y 1.004 5.732 8.406
S 3.013 4.658 6.779
S 1.004 0.087 6.108
Pr 3.013 6.376 12.361
S 3.013 6.339 3.329
S 1.004 6.511 14.513
Pr 1.004 1.070 3.105
Y 3.013 5.437 0.673
Pr 3.013 2.653 10.839
S 3.013 7.359 9.359

---

ii | 10
Lattice="3.990 0.000 0.000 0.000 7.888 0.572 0.000 -1.197 7.817" Properties=species:S:1:pos:R:3 comment="GGA-PBE PrYS3, relaxed" rho_g_cm3=4.35 magnetic_moment_mub_per_fu=0.00 pbc="T T T"
Pr 0.998 2.700 2.009
S 0.997 2.214 5.006
Pr 2.992 3.991 6.380
S 2.992 1.337 7.809
S 2.993 4.477 3.383
Y 2.992 0.352 5.368
S 0.997 6.312 5.825
Y 0.998 6.339 3.022
S 0.998 5.354 0.580
S 2.993 0.379 2.564

---

The structure with the most favorable energy is i; the runner-up is 23 meV per atom above it.